# 1
Computed, not measured: a geometry-optimized Tb2Sm6In structure at the GGA-PBE level of DFT.

The crystal system is tetragonal. The total energy is -4.55 eV per atom. The value obtained for the offset from the most stable computed form is 0.000 eV/atom. The value obtained for the formation energy is -0.6 eV/f.u.

It has space group P4_2/mnm (No. 136), with a = 10.765 Å, b = 10.765 Å, c = 4.967 Å, α = 90.00°, β = 90.00° and γ = 90.00°. The asymmetric unit holds Tb at (0.161, 0.161, 0.000), Sm at (0.001, 0.666, 0.500), Sm at (0.160, 0.840, 0.000) and In at (0.000, 0.000, 0.500).


# 2
Computed, not measured: a geometry-optimized Pm4OsBr2Cl structure at the GGA-PBE level of DFT.

The crystal system is monoclinic. The total energy is -5.41 eV per atom. The uncorrected formation energy comes out at -94.6 kJ/mol of atoms.

It has space group P2/m (No. 10), with a = 7.447 Å, b = 4.094 Å, c = 7.936 Å, α = 90.00°, β = 107.80° and γ = 90.00°. The asymmetric unit holds Pm at (0.207, 0.000, 0.203), Pm at (0.246, 0.500, 0.799), Os at (0.000, 0.500, 0.000), Br at (0.000, 0.000, 0.500), Br at (0.500, 0.500, 0.500) and Cl at (0.500, 0.000, 0.000).


# 3
Computed, not measured: a geometry-optimized Rb2ZnGaBi2 structure at the GGA-PBE level of DFT.

The crystal system is orthorhombic. The total energy is -2.60 eV per atom. The value obtained for the formation energy is -1.6 eV/f.u.

It has space group Ibam (No. 72), with a = 7.158 Å, b = 16.759 Å, c = 7.180 Å, α = 90.00°, β = 90.00° and γ = 90.00°. The asymmetric unit holds Rb at (0.247, 0.163, 0.000), Zn at (0.000, 0.500, 0.250), Ga at (0.000, 0.000, 0.250) and Bi at (0.243, 0.408, 0.000).


# 4
Computed, not measured: a geometry-optimized Ce3DySb4 structure at the GGA-PBE level of DFT.

The crystal system is orthorhombic. The total energy is -5.92 eV per atom. The value obtained for the offset from the most stable computed form is 0.000 eV/atom. The uncorrected formation energy comes out at -102.4 kJ/mol of atoms.

It has space group Cmmm (No. 65), with a = 8.934 Å, b = 12.639 Å, c = 4.476 Å, α = 90.00°, β = 90.00° and γ = 90.00°. The asymmetric unit holds Ce at (0.000, 0.000, 0.000), Ce at (0.250, 0.250, 0.500), Dy at (0.000, 0.500, 0.000), Sb at (0.000, 0.252, 0.000) and Sb at (0.246, 0.500, 0.500).


# 5
Computed, not measured: a geometry-optimized CoGeMo2 structure at the GGA-PBE level of DFT.

The crystal system is tetragonal. The total energy is -7.90 eV per atom. The value obtained for the formation energy is 1.8 eV/f.u.

It has space group I-42d (No. 122), with a = 6.798 Å, b = 6.798 Å, c = 5.267 Å, α = 90.00°, β = 90.00° and γ = 90.00°. The asymmetric unit holds Co at (0.000, 0.000, 0.000), Ge at (0.000, 0.000, 0.500) and Mo at (0.230, 0.250, 0.125).


# 6
Computed, not measured: a geometry-optimized AlSb3 structure at the GGA-PBE level of DFT.

The crystal system is orthorhombic. The total energy is -3.96 eV per atom. The value obtained for the offset from the most stable computed form is 0.017 eV/atom. The uncorrected formation energy comes out at 6.7 kJ/mol of atoms.

It has space group Amm2 (No. 38), with a = 5.929 Å, b = 5.923 Å, c = 6.494 Å, α = 90.00°, β = 90.00° and γ = 90.00°. The asymmetric unit holds Al at (0.000, 0.000, 0.000), Sb at (0.000, 0.000, 0.429), Sb at (0.500, 0.000, 0.496) and Sb at (0.500, 0.000, 0.938).